VASP calculation (PBE) on a relaxed Pr2TmIn8 crystal.

Structure (CIF):
```
data_Pr2TmIn8
_chemical_formula_sum 'Pr2 Tm1 In8'
_cell_length_a 4.727
_cell_length_b 4.727
_cell_length_c 13.142
_cell_angle_alpha 90.00
_cell_angle_beta 90.00
_cell_angle_gamma 90.00
_symmetry_space_group_name_H-M 'P 4/m m m'
_symmetry_Int_Tables_number 123
_symmetry_space_group_name_Hall '-P 4 2'
loop_
_atom_site_label
_atom_site_fract_x
_atom_site_fract_y
_atom_site_fract_z
Pr1 0.000 0.000 0.173
Tm1 0.000 0.000 0.500
In1 0.000 0.500 0.000
In2 0.000 0.500 0.351
In3 0.500 0.500 0.181
```

Uncorrected energy = -3.639 eV/atom